# 1
The following is a PBE-GGA calculation of RbZn2InPt after structural relaxation, from the Alexandria database.

As for the final energy: -2.7089 eV/atom.

It has space group P4/mmm (No. 123), with a = 5.061 Å, b = 5.061 Å, c = 5.174 Å, α = 90.00°, β = 90.00° and γ = 90.00°. The inequivalent atoms are Rb at (0.000, 0.000, 0.000), Zn at (0.000, 0.500, 0.500), In at (0.500, 0.500, 0.000) and Pt at (0.500, 0.500, 0.500).

# 2
The following is a PBE-GGA calculation of ScInSiRu2 after structural relaxation, from the Alexandria database.

For the formation energy without anion corrections, the calculation gives 1434.6 meV/atom. As for the final energy: -5.1744 eV/atom.

It has space group P4/mmm (No. 123), with a = 4.645 Å, b = 4.645 Å, c = 5.190 Å, α = 90.00°, β = 90.00° and γ = 90.00°. The inequivalent atoms are Sc at (0.000, 0.000, 0.000), In at (0.000, 0.000, 0.500), Si at (0.500, 0.500, 0.500) and Ru at (0.000, 0.500, 0.000).

# 3
The following is a PBE-GGA calculation of TbZnCd after structural relaxation, from the Alexandria database.

As for the final energy: -2.5918 eV/atom.

It has space group P-6m2 (No. 187), with a = 4.7437 Å, b = 4.7437 Å, c = 3.4875 Å, α = 90.00°, β = 90.00° and γ = 120.00°. The inequivalent atoms are Tb at (0.0000, 0.0000, 0.0000), Zn at (0.6667, 0.3333, 0.5000) and Cd at (0.3333, 0.6667, 0.5000).

# 4
The following is a PBE-GGA calculation of La2AgPdC after structural relaxation, from the Alexandria database.

As for the final energy: -5.6873 eV/atom.

It has space group P4/mmm (No. 123), with a = 5.328 Å, b = 5.328 Å, c = 4.048 Å, α = 90.00°, β = 90.00° and γ = 90.00°. The inequivalent atoms are La at (0.000, 0.500, 0.000), Ag at (0.000, 0.000, 0.500), Pd at (0.500, 0.500, 0.500) and C at (0.500, 0.500, 0.000).

# 5
The following is a PBE-GGA calculation of Pm8DyTm2 after structural relaxation, from the Alexandria database.

As for the final energy: -4.5132 eV/atom. As for the energy above the most stable polymorph in this dataset: 0.67 eV/f.u.

It has space group C2/m (No. 12), with a = 16.774 Å, b = 6.754 Å, c = 6.680 Å, α = 90.00°, β = 100.13° and γ = 90.00°. The inequivalent atoms are Pm at (0.087, 0.238, 0.406), Pm at (0.094, 0.000, 0.913), Pm at (0.244, 0.500, 0.320), Dy at (0.000, 0.500, 0.000) and Tm at (0.198, 0.500, 0.806).

# 6
The following is a PBE-GGA calculation of Ho2Er15Th2 after structural relaxation, from the Alexandria database.

As for the final energy: -4.5675 eV/atom.

It has space group R-3m (No. 166, hexagonal axes), with a = 11.0086 Å, b = 11.0086 Å, c = 17.6835 Å, α = 90.00°, β = 90.00° and γ = 120.00°. The inequivalent atoms are Ho at (0.0000, 0.0000, 0.1834), Er at (0.0000, 0.3015, 0.5000), Er at (0.0000, 0.5000, 0.0000), Er at (0.0086, 0.5043, 0.6367) and Th at (0.0000, 0.0000, 0.4107).